! PrErIr4, optimized geometry, DFT PBE; values from VASP
&SYSTEM
  ibrav = 0, nat = 6, ntyp = 3
/
ATOMIC_SPECIES
Pr 140.91 Pr.upf
Ir 192.22 Ir.upf
Er 167.26 Er.upf
CELL_PARAMETERS angstrom
-1.8992 0.5521 -5.0272
-4.1026 -3.0811 -1.6911
-4.8667 2.1960 -0.8229
ATOMIC_POSITIONS angstrom
Pr 0.0000 0.0000 0.0000
Ir -4.3616 -1.3038 -4.3008
Ir -4.7429 1.3294 -3.8675
Ir -6.7901 -0.2080 -4.7114
Ir -5.8424 -0.4835 -2.2028
Er -2.7171 -0.0832 -1.8853
! Energy relative to the elements = -0.7311 eV per atom
! ρ = 16042 kg/m³
! Space-group type = F-43m (216)
! Volume = 18.58 A^3/atom
! Magnetic moment = 0.0 μB/cell

---

! PrErIr, optimized geometry, DFT PBE; values from VASP
&SYSTEM
  ibrav = 0, nat = 3, ntyp = 3
/
ATOMIC_SPECIES
Pr 140.91 Pr.upf
Ir 192.22 Ir.upf
Er 167.26 Er.upf
CELL_PARAMETERS angstrom
-2.9900 1.7781 0.5490
-1.3361 -2.7744 1.7089
4.5483 2.7863 4.4508
ATOMIC_POSITIONS angstrom
Pr 0.1693 0.1624 0.3959
Ir -1.3299 0.3011 3.0781
Er 1.3828 1.3265 3.2347
! Energy relative to the elements = -0.4834 eV per atom
! ρ = 10330 kg/m³
! Polymorph energy (0 for the lowest one) = 0.41 eV/f.u.
! Space-group type = I4mm (107)
! Volume = 26.81 A^3/atom
! Magnetic moment = 0.0 μB/cell

---

! Pr2ErIr9, optimized geometry, DFT PBE; values from VASP
&SYSTEM
  ibrav = 0, nat = 12, ntyp = 3
/
ATOMIC_SPECIES
Pr 140.91 Pr.upf
Er 167.26 Er.upf
Ir 192.22 Ir.upf
CELL_PARAMETERS angstrom
-2.1936 -4.6729 1.3993
2.3377 -4.5897 -1.4409
4.7801 -3.0479 7.5368
ATOMIC_POSITIONS angstrom
Pr 2.1209 -9.2461 3.1127
Pr 2.8033 -3.0645 4.3825
Er 0.0000 0.0000 0.0000
Ir 4.8586 -9.2231 7.4813
Ir 0.0655 -3.0874 0.0140
Ir 2.4621 -6.1553 3.7476
Ir 1.2095 -4.6369 1.7937
Ir 0.1234 -6.9505 2.4865
Ir 2.3669 -6.9093 1.0803
Ir 3.7147 -7.6736 5.7015
Ir 2.5573 -5.4012 6.4149
Ir 4.8007 -5.3600 5.0087
! Energy relative to the elements = -0.4974 eV per atom
! ρ = 16390 kg/m³
! Space-group type = R-3m (166)
! Volume = 18.40 A^3/atom
! Magnetic moment = 0.0 μB/cell

---

! PrErIr, optimized geometry, DFT PBE; values from VASP
&SYSTEM
  ibrav = 0, nat = 3, ntyp = 3
/
ATOMIC_SPECIES
Pr 140.91 Pr.upf
Ir 192.22 Ir.upf
Er 167.26 Er.upf
CELL_PARAMETERS angstrom
6.2383 0.0000 0.0000
0.0000 4.1764 0.0000
0.0000 -2.0882 3.6169
ATOMIC_POSITIONS angstrom
Pr 4.7726 2.0882 1.2056
Ir 0.0723 0.0000 0.0000
Er 1.3934 0.0000 2.4112
! Energy relative to the elements = -0.5055 eV per atom
! ρ = 8818 kg/m³
! Polymorph energy (0 for the lowest one) = 0.35 eV/f.u.
! Space-group type = P3m1 (156)
! Volume = 31.41 A^3/atom
! Magnetic moment = 0.0 μB/cell

---

! PrErIrPt, optimized geometry, DFT PBE; values from VASP
&SYSTEM
  ibrav = 0, nat = 4, ntyp = 4
/
ATOMIC_SPECIES
Pr 140.91 Pr.upf
Ir 192.22 Ir.upf
Pt 195.08 Pt.upf
Er 167.26 Er.upf
CELL_PARAMETERS angstrom
4.9797 0.0000 0.0000
2.4899 4.3126 0.0000
2.4899 1.4375 4.0659
ATOMIC_POSITIONS angstrom
Pr 0.0000 0.0000 0.0000
Ir 2.4899 1.4375 1.0165
Pt 7.4696 4.3126 3.0494
Er 4.9797 2.8750 2.0330
! Energy relative to the elements = -0.8854 eV per atom
! ρ = 13226 kg/m³
! Space-group type = F-43m (216)
! Volume = 21.83 A^3/atom
! Magnetic moment = 0.0 μB/cell

---

! PrErIrRh, optimized geometry, DFT PBE; values from VASP
&SYSTEM
  ibrav = 0, nat = 4, ntyp = 4
/
ATOMIC_SPECIES
Pr 140.91 Pr.upf
Ir 192.22 Ir.upf
Rh 102.91 Rh.upf
Er 167.26 Er.upf
CELL_PARAMETERS angstrom
4.9304 0.0000 0.0000
2.4652 4.2699 0.0000
2.4652 1.4233 4.0257
ATOMIC_POSITIONS angstrom
Pr 2.4652 1.4233 1.0064
Ir 0.0000 0.0000 0.0000
Rh 4.9304 2.8466 2.0128
Er 7.3956 4.2699 3.0192
! Energy relative to the elements = -0.7173 eV per atom
! ρ = 11821 kg/m³
! Space-group type = F-43m (216)
! Volume = 21.19 A^3/atom
! Magnetic moment = 0.0 μB/cell

---

! Pr2ErSn3Ir4, optimized geometry, DFT PBE; values from VASP
&SYSTEM
  ibrav = 0, nat = 10, ntyp = 4
/
ATOMIC_SPECIES
Pr 140.91 Pr.upf
Er 167.26 Er.upf
Sn 118.71 Sn.upf
Ir 192.22 Ir.upf
CELL_PARAMETERS angstrom
4.4005 0.0000 0.0000
0.0000 4.4005 0.0000
0.0000 0.0000 11.6073
ATOMIC_POSITIONS angstrom
Pr 2.2003 0.0000 2.7128
Pr 0.0000 2.2003 8.8945
Er 2.2003 2.2003 5.8037
Sn 0.0000 0.0000 5.8037
Sn 2.2003 0.0000 10.1322
Sn 0.0000 2.2003 1.4751
Ir 2.2003 2.2003 0.0000
Ir 0.0000 0.0000 0.0000
Ir 2.2003 0.0000 7.5097
Ir 0.0000 2.2003 4.0976
! Energy relative to the elements = -0.6305 eV per atom
! ρ = 11629 kg/m³
! Space-group type = P-4m2 (115)
! Volume = 22.48 A^3/atom
! Magnetic moment = 0.0 μB/cell

---

! PrErTlIr, optimized geometry, DFT PBE; values from VASP
&SYSTEM
  ibrav = 0, nat = 4, ntyp = 4
/
ATOMIC_SPECIES
Pr 140.91 Pr.upf
Tl 204.38 Tl.upf
Ir 192.22 Ir.upf
Er 167.26 Er.upf
CELL_PARAMETERS angstrom
5.1845 0.0000 0.0000
2.5923 4.4899 0.0000
2.5923 1.4966 4.2331
ATOMIC_POSITIONS angstrom
Pr 2.5923 1.4966 1.0583
Tl 5.1845 2.9933 2.1166
Ir 0.0000 0.0000 0.0000
Er 7.7768 4.4899 3.1748
! Energy relative to the elements = -0.3953 eV per atom
! ρ = 11876 kg/m³
! Space-group type = F-43m (216)
! Volume = 24.63 A^3/atom
! Magnetic moment = 0.0 μB/cell

---

! Er4Ir2Pt, optimized geometry, DFT PBE; values from VASP
&SYSTEM
  ibrav = 0, nat = 7, ntyp = 3
/
ATOMIC_SPECIES
Er 167.26 Er.upf
Ir 192.22 Ir.upf
Pt 195.08 Pt.upf
CELL_PARAMETERS angstrom
4.2059 0.0000 0.0000
0.0000 7.1065 0.0177
-2.1030 -3.4697 5.9011
ATOMIC_POSITIONS angstrom
Er 2.1030 -1.0323 4.2543
Er 0.0000 4.6692 1.6645
Er 2.1030 1.3423 1.4700
Er 0.0000 2.2946 4.4488
Ir 2.1030 3.5760 3.0985
Ir 0.0000 0.0609 2.8203
Pt 0.0000 0.0000 0.0000
! Energy relative to the elements = -0.8453 eV per atom
! ρ = 11737 kg/m³
! Polymorph energy (0 for the lowest one) = 0.90 eV/f.u.
! Space-group type = C2/m (12)
! Volume = 25.23 A^3/atom
! Magnetic moment = 0.0 μB/cell

---

! Er3IrPt2, optimized geometry, DFT PBE; values from VASP
&SYSTEM
  ibrav = 0, nat = 12, ntyp = 3
/
ATOMIC_SPECIES
Er 167.26 Er.upf
Ir 192.22 Ir.upf
Pt 195.08 Pt.upf
CELL_PARAMETERS angstrom
4.8783 0.0000 0.0194
2.4392 7.3204 0.0097
-0.0272 0.0000 6.8409
ATOMIC_POSITIONS angstrom
Er 4.8579 2.4657 5.1789
Er 2.4324 0.0000 1.6995
Er 2.4324 4.8547 1.6911
Er 4.8716 2.4657 1.7008
Er 2.4188 4.8547 5.1692
Er 2.4188 0.0000 5.1609
Ir 2.4392 2.4435 0.0097
Ir 4.8783 4.8769 0.0194
Pt 0.0000 0.0000 0.0000
Pt -0.0136 0.0000 3.4205
Pt 2.4256 2.4296 3.4302
Pt 4.8647 4.8909 3.4399
! Energy relative to the elements = -1.1468 eV per atom
! ρ = 14738 kg/m³
! Space-group type = Cmmm (65)
! Volume = 20.36 A^3/atom
! Magnetic moment = 0.0 μB/cell

---

! Er4Ir2Pt, optimized geometry, DFT PBE; values from VASP
&SYSTEM
  ibrav = 0, nat = 7, ntyp = 3
/
ATOMIC_SPECIES
Ir 192.22 Ir.upf
Pt 195.08 Pt.upf
Er 167.26 Er.upf
CELL_PARAMETERS angstrom
4.5791 0.0000 1.4306
2.0661 4.0865 1.4306
-0.0824 -0.0506 8.3072
ATOMIC_POSITIONS angstrom
Ir 4.9223 3.0270 8.3757
Ir 1.6405 1.0088 2.7927
Pt 0.0000 0.0000 0.0000
Er 5.7723 3.5497 5.6550
Er 0.7905 0.4861 5.5134
Er 4.1280 2.5386 2.8743
Er 2.4347 1.4973 8.2942
! Energy relative to the elements = -0.9735 eV per atom
! ρ = 13281 kg/m³
! Polymorph energy (0 for the lowest one) = 0.00 eV/f.u.
! Space-group type = R-3m (166)
! Volume = 22.30 A^3/atom
! Magnetic moment = 0.0 μB/cell

---

! Er4IrPt2, optimized geometry, DFT PBE; values from VASP
&SYSTEM
  ibrav = 0, nat = 7, ntyp = 3
/
ATOMIC_SPECIES
Ir 192.22 Ir.upf
Pt 195.08 Pt.upf
Er 167.26 Er.upf
CELL_PARAMETERS angstrom
-2.1240 3.4042 2.6910
-4.7042 0.9429 -0.5688
-4.0311 -3.9913 6.2044
ATOMIC_POSITIONS angstrom
Ir 0.0000 0.0000 0.0000
Pt -8.1352 0.2957 6.2158
Pt -2.7241 0.0601 2.1108
Er -7.4802 2.3259 4.1644
Er -3.3791 -1.9702 4.1622
Er -4.7669 2.2324 2.0874
Er -6.0924 -1.8766 6.2392
! Energy relative to the elements = -1.0534 eV per atom
! ρ = 12962 kg/m³
! Polymorph energy (0 for the lowest one) = 0.00 eV/f.u.
! Space-group type = R-3m (166)
! Volume = 22.90 A^3/atom
! Magnetic moment = 0.0 μB/cell

---

! Er4IrPt, optimized geometry, DFT PBE; values from VASP
&SYSTEM
  ibrav = 0, nat = 12, ntyp = 3
/
ATOMIC_SPECIES
Er 167.26 Er.upf
Ir 192.22 Ir.upf
Pt 195.08 Pt.upf
CELL_PARAMETERS angstrom
-0.5884 -5.1936 -4.3111
-2.3137 -3.9094 5.0266
-4.8965 6.4556 -1.7922
ATOMIC_POSITIONS angstrom
Er -6.0708 0.2764 -4.8242
Er -2.0220 -5.5206 1.5919
Er -3.7517 -0.0398 0.5187
Er -4.0468 -2.6077 -1.5955
Er -4.9086 -1.9944 3.0319
Er -5.7766 2.8731 -2.6686
Er -2.8899 -0.6531 -4.1086
Er -1.7278 -2.9239 3.7474
Ir -2.8908 -2.7771 1.0769
Ir -4.9078 0.1297 -2.1537
Pt -5.7703 0.7717 2.5152
Pt -2.0283 -3.4192 -3.5920
! Energy relative to the elements = -0.8318 eV per atom
! ρ = 11271 kg/m³
! Space-group type = Fddd (70)
! Volume = 25.94 A^3/atom
! Magnetic moment = 0.0 μB/cell

---

! Er6IrPt5, optimized geometry, DFT PBE; values from VASP
&SYSTEM
  ibrav = 0, nat = 12, ntyp = 3
/
ATOMIC_SPECIES
Ir 192.22 Ir.upf
Pt 195.08 Pt.upf
Er 167.26 Er.upf
CELL_PARAMETERS angstrom
-4.7766 0.6437 0.7396
0.8405 -7.1719 -4.4043
3.7633 0.8020 7.5322
ATOMIC_POSITIONS angstrom
Ir 0.0000 0.0000 0.0000
Pt 0.8913 -0.1956 5.9269
Pt 2.7932 -1.8445 3.5706
Pt -0.0864 -2.8631 1.9338
Pt 1.8105 -4.5254 -0.4426
Pt -1.0642 -5.5306 -2.0593
Er 0.4399 -0.1057 2.9332
Er 0.3530 -2.9858 4.8784
Er -2.4311 -1.0943 1.3263
Er 2.2583 -4.6318 2.5412
Er -0.5259 -2.7404 -1.0109
Er -0.6127 -5.6205 0.9344
! Energy relative to the elements = -1.2064 eV per atom
! ρ = 14604 kg/m³
! Space-group type = Immm (71)
! Volume = 20.57 A^3/atom
! Magnetic moment = 0.0 μB/cell

---

! Er8IrPt2, optimized geometry, DFT PBE; values from VASP
&SYSTEM
  ibrav = 0, nat = 11, ntyp = 3
/
ATOMIC_SPECIES
Ir 192.22 Ir.upf
Pt 195.08 Pt.upf
Er 167.26 Er.upf
CELL_PARAMETERS angstrom
5.8171 0.0271 -0.9981
-1.9416 6.7213 -2.8143
-0.1335 -0.1081 7.5390
ATOMIC_POSITIONS angstrom
Ir 0.9168 0.0131 -0.1514
Pt 1.4449 4.6356 -0.0332
Pt 2.1214 2.0804 3.8404
Er 2.6979 2.2807 -0.9138
Er 3.1619 0.5281 1.7432
Er 0.2293 2.3650 1.5200
Er 5.2359 1.3730 4.3579
Er 4.1953 5.3036 -1.6009
Er 3.3631 4.3041 2.2518
Er 0.3127 6.1589 2.0657
Er 0.7756 4.4105 4.7162
! Energy relative to the elements = -0.6136 eV per atom
! ρ = 10910 kg/m³
! Polymorph energy (0 for the lowest one) = 1.02 eV/f.u.
! Space-group type = Cm (8)
! Volume = 26.57 A^3/atom
! Magnetic moment = 0.0 μB/cell

---

! Er2IrPt, optimized geometry, DFT PBE; values from VASP
&SYSTEM
  ibrav = 0, nat = 4, ntyp = 3
/
ATOMIC_SPECIES
Ir 192.22 Ir.upf
Pt 195.08 Pt.upf
Er 167.26 Er.upf
CELL_PARAMETERS angstrom
-1.9961 -1.5562 -2.3065
0.4799 -2.9887 1.6012
-5.5063 1.2257 3.9383
ATOMIC_POSITIONS angstrom
Ir -3.5113 -1.6596 1.6164
Pt -0.7581 -2.2725 -0.3527
Er -4.0885 0.9101 2.9242
Er -1.4178 0.3156 1.0141
! Energy relative to the elements = -1.0879 eV per atom
! ρ = 14857 kg/m³
! Space-group type = P4/mmm (123)
! Volume = 20.17 A^3/atom
! Magnetic moment = 0.0 μB/cell

---

! Er3Ir2Pt, optimized geometry, DFT PBE; values from VASP
&SYSTEM
  ibrav = 0, nat = 6, ntyp = 3
/
ATOMIC_SPECIES
Er 167.26 Er.upf
Ir 192.22 Ir.upf
Pt 195.08 Pt.upf
CELL_PARAMETERS angstrom
3.3103 0.0000 0.0000
0.0000 4.6607 -1.5429
0.0000 -0.0158 7.7630
ATOMIC_POSITIONS angstrom
Er 1.6552 2.3304 -0.7715
Er 1.6552 3.8643 3.8620
Er 1.6552 0.7806 2.3581
Ir 0.0000 1.5437 4.6631
Ir 0.0000 3.1012 1.5570
Pt 0.0000 0.0000 0.0000
! Energy relative to the elements = -1.0105 eV per atom
! ρ = 15002 kg/m³
! Space-group type = Cmmm (65)
! Volume = 19.95 A^3/atom
! Magnetic moment = 0.0 μB/cell

---

! Er12Ir5Pt3, optimized geometry, DFT PBE; values from VASP
&SYSTEM
  ibrav = 0, nat = 80, ntyp = 3
/
ATOMIC_SPECIES
Pt 195.08 Pt.upf
Ir 192.22 Ir.upf
Er 167.26 Er.upf
CELL_PARAMETERS angstrom
-2.8922 13.8483 1.2701
-10.9616 -6.5777 -6.1911
2.2089 -5.5758 12.8757
ATOMIC_POSITIONS angstrom
Pt -6.0036 7.2226 0.2404
Pt -10.4757 6.4870 -1.9225
Pt -7.9252 -3.2251 3.8803
Pt -1.2649 0.5489 4.3720
Pt -3.3486 9.9011 3.5564
Pt -7.3833 -0.3119 -0.1742
Pt -4.2616 2.0066 8.1289
Pt -8.2963 -8.2064 4.3983
Pt -10.3800 1.1458 3.5827
Pt -3.7197 4.9198 4.0744
Pt -1.1692 -4.7923 9.8772
Pt -5.6413 -5.5279 7.7143
Ir -3.9199 -2.1296 1.0560
Ir -5.4808 -3.2889 -3.0955
Ir 0.0000 0.0000 0.0000
Ir -3.5489 2.8517 0.5380
Ir -0.3416 4.1362 7.0729
Ir -6.9269 3.6353 -2.4605
Ir -7.7544 -5.2932 0.3438
Ir -1.6066 4.6851 11.4449
Ir -8.1918 4.1842 1.9115
Ir -0.7981 0.1890 9.3592
Ir -10.8468 1.5057 -1.4045
Ir -5.8224 0.8474 3.9774
Ir -1.4461 6.9241 0.6350
Ir 1.1044 -2.7879 6.4379
Ir -3.4531 -2.4895 6.0432
Ir -10.0383 -2.9904 -3.4902
Ir -4.3764 -6.0768 3.3423
Ir -3.8905 6.9879 7.6109
Ir -8.0960 -1.1570 7.4167
Ir -7.7250 3.8243 6.8987
Er -3.3746 8.8535 0.6872
Er -5.9854 -1.3798 2.4098
Er -6.2258 9.2148 2.5451
Er -3.6755 5.3905 0.9844
Er -8.0834 -0.3036 4.9810
Er -8.7783 8.4345 -0.1626
Er -8.6161 -2.9132 0.8476
Er -9.9342 -5.5385 -3.8870
Er -10.6807 -1.9644 3.4951
Er -8.1600 5.0862 -0.5064
Er -6.4403 5.7584 2.9675
Er -12.3390 5.1710 -4.0598
Er -7.0319 -5.9878 2.7222
Er -5.4438 1.9183 -0.9450
Er -9.4834 -6.8582 -0.7618
Er -1.2929 1.5848 7.2454
Er -1.6835 -1.1071 1.8397
Er -8.5189 1.4201 -2.5156
Er -11.7399 3.8834 -0.9461
Er -4.6771 -1.3980 -1.3003
Er -9.8301 -5.4924 4.6291
Er -7.6594 1.6687 2.1347
Er -10.5075 4.2234 3.0503
Er -3.8308 3.6163 10.6889
Er -3.9855 0.0260 5.8200
Er -1.1373 -2.5287 4.9044
Er -7.8141 -1.9216 -2.7342
Er 0.0950 -2.1887 8.9008
Er -1.8148 7.1871 3.3256
Er -6.9678 3.0927 9.2551
Er -3.1260 0.2746 10.4703
Er -10.3520 0.1099 0.7093
Er -9.9614 2.8018 6.1150
Er -2.1615 8.5529 8.7165
Er -4.6130 7.6825 5.2325
Er 0.6941 -3.4763 12.0145
Er -6.2011 -0.2236 8.8997
Er -0.9642 3.6591 4.4596
Er -3.4849 -3.3915 8.4611
Er -5.2046 -4.0637 4.9872
Er -1.7107 7.2332 11.8417
Er -3.0288 4.6079 7.1071
Er -7.9694 -3.6958 6.9703
Er -2.8666 -6.7398 8.1174
Er -3.5614 1.9983 2.9737
Er -5.4191 -7.5201 5.4096
Er -5.6595 3.0745 5.5450
Er -8.2703 -7.1588 7.2675
! Energy relative to the elements = -0.5158 eV per atom
! ρ = 10699 kg/m³
! Space-group type = Ia-3d (230)
! Volume = 27.58 A^3/atom
! Magnetic moment = 0.0 μB/cell

---

! Er6IrPt3, optimized geometry, DFT PBE; values from VASP
&SYSTEM
  ibrav = 0, nat = 20, ntyp = 3
/
ATOMIC_SPECIES
Er 167.26 Er.upf
Ir 192.22 Ir.upf
Pt 195.08 Pt.upf
CELL_PARAMETERS angstrom
-3.5039 1.0823 3.1295
-0.7380 -7.9260 1.9149
8.1074 1.3273 8.6183
ATOMIC_POSITIONS angstrom
Er 5.4989 0.5445 9.6819
Er 2.7823 -0.0848 6.8579
Er -0.1384 -3.0965 4.6294
Er 4.0039 -2.4200 9.0334
Er 1.0831 -5.4317 6.8048
Er -1.6334 -6.0609 3.9808
Er -0.4519 -1.1370 7.3141
Er -3.1335 -1.3914 4.3997
Er 2.5322 2.0696 9.5463
Er 1.3332 -7.5860 4.1164
Er 6.9989 -4.1250 9.2630
Er 4.3174 -4.3795 6.3486
Ir 1.9327 -2.7582 6.8314
Ir 0.0000 0.0000 0.0000
Pt 3.0831 -5.1758 8.9555
Pt -2.1209 -3.4219 2.5222
Pt 0.7823 -0.3406 4.7072
Pt 0.9050 -5.0508 2.7602
Pt 4.0537 0.6636 4.3092
Pt 2.9604 -0.4657 10.9026
! Energy relative to the elements = -0.9236 eV per atom
! ρ = 12586 kg/m³
! Space-group type = Pnnm (58)
! Volume = 23.50 A^3/atom
! Magnetic moment = 0.0 μB/cell

---

! Er5Ir2Pt, optimized geometry, DFT PBE; values from VASP
&SYSTEM
  ibrav = 0, nat = 16, ntyp = 3
/
ATOMIC_SPECIES
Er 167.26 Er.upf
Ir 192.22 Ir.upf
Pt 195.08 Pt.upf
CELL_PARAMETERS angstrom
6.7164 0.0000 -3.1705
-1.4966 6.5475 -3.1705
-0.0672 -0.0843 8.5569
ATOMIC_POSITIONS angstrom
Er 2.4610 4.4618 2.2833
Er 3.9612 6.3436 -3.2378
Er 0.0000 0.0000 0.0000
Er 2.6099 3.2737 -3.1705
Er 1.1913 0.1196 5.4538
Er 4.3053 1.1880 3.3512
Er -0.6530 3.3933 4.3859
Er 0.8472 5.2752 -1.1352
Er 5.8055 3.0699 -2.1700
Er 2.6915 2.0014 -0.0674
Ir 0.3518 2.3968 -1.5852
Ir 4.0573 0.8770 -2.4346
Ir 1.1624 5.6705 -3.9064
Ir 4.8680 4.1507 -4.7557
Pt 3.8812 4.8685 -0.4773
Pt 1.2713 1.5947 2.6932
! Energy relative to the elements = -0.9024 eV per atom
! ρ = 12616 kg/m³
! Space-group type = I4/mcm (140)
! Volume = 23.29 A^3/atom
! Magnetic moment = 0.0 μB/cell